Entry 1:
First-principles (PBE) data for a relaxed Pa2Si7Rh12 crystal, as listed in Alexandria via LeMat-Bulk.

Cell lengths 9.781, 9.781, 3.840 Å; angles 90.00, 90.00, 120.00 degrees
Element x y z (fractional)
Pa 0.333 0.667 0.254
Pa 0.667 0.333 0.746
Si 0.000 0.000 0.500
Si 0.106 0.397 0.751
Si 0.291 0.894 0.751
Si 0.397 0.291 0.249
Si 0.603 0.709 0.751
Si 0.709 0.106 0.249
Si 0.894 0.603 0.249
Rh 0.072 0.622 0.752
Rh 0.124 0.860 0.254
Rh 0.140 0.264 0.254
Rh 0.264 0.124 0.746
Rh 0.378 0.450 0.752
Rh 0.450 0.072 0.248
Rh 0.550 0.928 0.752
Rh 0.622 0.550 0.248
Rh 0.736 0.876 0.254
Rh 0.860 0.736 0.746
Rh 0.876 0.140 0.746
Rh 0.928 0.378 0.248

## Properties
The uncorrected formation energy is -19.39 eV per formula unit. For the calculated total energy, the calculation gives -7.84 eV per atom.

Entry 2:
First-principles (PBE) data for a relaxed CaLaSnHg crystal, as listed in Alexandria via LeMat-Bulk.

Cell lengths 5.493, 5.493, 5.493 Å; angles 60.00, 60.00, 60.00 degrees
Element x y z (fractional)
Ca 0.000 0.000 0.000
La 0.500 0.500 0.500
Sn 0.250 0.250 0.250
Hg 0.750 0.750 0.750

## Properties
The calculation puts the energy of formation at -0.6477 eV/atom. For the calculated total energy, the calculation gives -3.46 eV per atom.

Entry 3:
First-principles (PBE) data for a relaxed CaZnCl2 crystal, as listed in Alexandria via LeMat-Bulk.

Cell lengths 4.092, 4.092, 10.316 Å; angles 100.64, 100.64, 59.95 degrees
Element x y z (fractional)
Ca 0.000 0.000 0.000
Zn 0.500 0.500 0.500
Cl 0.289 0.289 0.859
Cl 0.711 0.711 0.141

## Properties
The calculation puts the energy above the most stable polymorph in this dataset at 0.00 eV per formula unit. The uncorrected formation energy is -6.15 eV per formula unit. For the calculated total energy, the calculation gives -3.28 eV per atom.

Entry 4:
First-principles (PBE) data for a relaxed Th2NbBi crystal, as listed in Alexandria via LeMat-Bulk.

Cell lengths 12.027, 12.027, 12.027 Å; angles 16.00, 16.00, 16.00 degrees
Element x y z (fractional)
Th 0.082 0.082 0.082
Th 0.918 0.918 0.918
Nb 0.000 0.000 0.000
Bi 0.500 0.500 0.500

## Properties
The calculation puts the energy of formation at 0.4385 eV/atom. For the calculated total energy, the calculation gives -6.76 eV per atom.